No. 1
## ErCdNO (GGA-PBE)

Data for a geometry-optimized ErCdNO structure.

The structure belongs to space group P4/nmm (No. 129, origin choice 2); the cell edges are 4.8465, 4.8465 and 4.6110 Å and the angles 90.00°, 90.00° and 90.00°. Symmetry generates all atoms from Er at (0.2500, 0.7500, 0.0000), Cd at (0.2500, 0.2500, 0.4978), N at (0.2500, 0.2500, 0.9983) and O at (0.2500, 0.7500, 0.5000).

The calculation puts the polymorph energy (0 for the lowest one) at 0.0 meV/atom. For the total moment, the calculation gives 0.000 μB per atom.

=====

No. 2
## BaPaRe (GGA-PBE)

Data for a geometry-optimized BaPaRe structure.

The structure belongs to space group F-43m (No. 216); the cell edges are 7.0394, 7.0394 and 7.0394 Å and the angles 90.00°, 90.00° and 90.00°. Symmetry generates all atoms from Ba at (0.0000, 0.0000, 0.0000), Pa at (0.0000, 0.0000, 0.5000) and Re at (0.2500, 0.2500, 0.7500).

The calculation puts the polymorph energy (0 for the lowest one) at 0.0 meV/atom. For the total moment, the calculation gives 0.049 μB per atom.

=====

No. 3
## NiW (GGA-PBE)

Data for a geometry-optimized NiW structure.

The structure belongs to space group P6_3/mmc (No. 194); the cell edges are 4.7854, 4.7854 and 8.0387 Å and the angles 90.00°, 90.00° and 120.00°. Symmetry generates all atoms from Ni at (0.1716, 0.3433, 0.2500), W at (0.0000, 0.0000, 0.0000) and W at (0.3333, 0.6667, 0.5723).

Its formation energy is 0.03 eV per atom. For the total moment, the calculation gives 0.002 μB per atom.

=====

No. 4
## TaTlBi (GGA-PBE)

Data for a geometry-optimized TaTlBi structure.

The structure belongs to space group F-43m (No. 216); the cell edges are 6.9627, 6.9627 and 6.9627 Å and the angles 90.00°, 90.00° and 90.00°. Symmetry generates all atoms from Ta at (0.0000, 0.0000, 0.0000), Tl at (0.2500, 0.2500, 0.2500) and Bi at (0.2500, 0.2500, 0.7500).

The calculation puts the polymorph energy (0 for the lowest one) at 0.0 meV/atom. For the total moment, the calculation gives 0.507 μB per atom.

=====

No. 5
## Li2ZrAl2Pd2Pt (GGA-PBE)

Data for a geometry-optimized Li2ZrAl2Pd2Pt structure.

The structure belongs to space group P-4m2 (No. 115); the cell edges are 4.4631, 4.4631 and 6.2177 Å and the angles 90.00°, 90.00° and 90.00°. Symmetry generates all atoms from Li at (0.0000, 0.5000, 0.2130), Zr at (0.0000, 0.0000, 0.5000), Al at (0.0000, 0.0000, 0.0000), Al at (0.5000, 0.5000, 0.5000), Pd at (0.0000, 0.5000, 0.7318) and Pt at (0.5000, 0.5000, 0.0000).

Its total energy is -40.51 eV for the cell shown. For the total moment, the calculation gives 0.028 μB per atom.

=====

No. 6
## LaTcB (GGA-PBE)

Data for a geometry-optimized LaTcB structure.

The structure belongs to space group F-43m (No. 216); the cell edges are 6.0672, 6.0672 and 6.0672 Å and the angles 90.00°, 90.00° and 90.00°. Symmetry generates all atoms from La at (0.0000, 0.0000, 0.0000), Tc at (0.2500, 0.2500, 0.7500) and B at (0.0000, 0.0000, 0.5000).

Its total energy is -78.17 eV for the cell shown. For the total moment, the calculation gives 0.058 μB per atom.